1.
The following is a PBE-GGA calculation of a relaxed YCuOs4 crystal, from Alexandria via LeMat-Bulk.

```
6
Lattice="-2.682 3.378 2.984 -2.559 4.002 -2.222 -5.243 0.016 -0.122" Properties=species:S:1:pos:R:3 pbc="T T T"
Y -2.621 1.849 0.160
Cu 0.000 0.000 0.000
Os -3.925 4.619 0.461
Os -5.273 2.617 1.516
Os -6.558 4.627 0.400
Os -5.211 2.930 -1.099
```

Properties
Density of states at the Fermi level: 8.58 states/eV/cell
Space-group type: No. 216
Formation energy: 0.27 eV per atom



2.
The following is a PBE-GGA calculation of a relaxed NaLa2RuO5 crystal, from Alexandria via LeMat-Bulk.

```
18
Lattice="-4.947 2.284 2.088 -3.670 -4.952 -3.278 0.490 -4.092 5.635" Properties=species:S:1:pos:R:3 pbc="T T T"
Na -1.590 -4.522 1.179
Na 0.000 0.000 0.000
La -4.879 -2.958 -0.171
La -2.976 -1.059 2.261
La -5.152 -5.702 2.184
La -3.248 -3.802 4.617
Ru 0.245 -2.046 2.817
Ru -1.835 -2.476 -1.639
O -4.064 -3.380 2.223
O -2.474 1.142 1.044
O -1.393 -2.698 3.645
O -4.211 -5.228 -0.264
O -2.490 -1.801 0.067
O -3.114 -6.124 3.314
O -3.916 -1.533 4.710
O -5.637 -4.959 4.379
O -6.734 -4.063 0.801
O -5.013 -0.637 1.131
```

Properties
Space-group type: No. 127
Formation energy from raw total energies: -1998 kJ/mol of formula units



3.
The following is a PBE-GGA calculation of a relaxed SmCu2Ag crystal, from Alexandria via LeMat-Bulk.

```
4
Lattice="-2.668 1.384 -1.637 -1.689 0.252 2.965 2.449 5.789 0.903" Properties=species:S:1:pos:R:3 pbc="T T T"
Cu 1.948 4.606 0.718
Cu 0.501 1.184 0.185
Ag -2.178 0.818 0.664
Sm -0.954 3.712 1.116
```

Properties
Density of states at the Fermi level: 1.35 states/eV/cell
Space-group type: No. 123
Formation energy: -0.05 eV per atom
Excess energy over the best structure of this formula in the dataset: 83 meV per atom



4.
The following is a PBE-GGA calculation of a relaxed Tb3PmSc2 crystal, from Alexandria via LeMat-Bulk.

```
12
Lattice="-1.662 1.810 4.883 -8.227 -1.517 -2.237 3.595 -6.910 3.784" Properties=species:S:1:pos:R:3 pbc="T T T"
Tb -7.651 -2.107 4.253
Tb -5.615 -0.818 1.409
Tb -1.486 -4.919 7.394
Tb 0.550 -3.630 4.549
Tb -5.010 -6.733 3.807
Tb -2.091 0.995 4.996
Pm -5.036 -4.363 5.980
Pm -2.065 -1.375 2.824
Sc -4.814 -3.519 2.683
Sc -4.798 -1.073 4.841
Sc -2.303 -4.664 3.962
Sc -2.287 -2.218 6.120
```

Properties
Density of states at the Fermi level: 21.18 states/eV/cell
Space-group type: No. 63
Formation energy: 0.29 eV per atom
Excess energy over the best structure of this formula in the dataset: 137 meV per atom



5.
The following is a PBE-GGA calculation of a relaxed Y3Ga2Ru3 crystal, from Alexandria via LeMat-Bulk.

```
32
Lattice="5.783 0.000 0.000 0.000 7.550 0.000 0.000 0.000 14.718" Properties=species:S:1:pos:R:3 pbc="T T T"
Y 0.817 3.552 5.795
Y 3.708 0.223 8.923
Y 4.966 3.998 13.154
Y 2.075 7.327 1.564
Y 4.966 3.998 8.923
Y 2.075 7.327 5.795
Y 0.817 3.552 1.564
Y 3.708 0.223 13.154
Y 3.516 2.410 3.680
Y 0.624 1.365 11.039
Y 2.267 5.140 11.039
Y 5.159 6.184 3.680
Ga 5.032 0.825 5.767
Ga 2.140 2.950 8.951
Ga 0.752 6.725 13.126
Ga 3.643 4.600 1.592
Ga 0.752 6.725 8.951
Ga 3.643 4.600 5.767
Ga 5.032 0.825 1.592
Ga 2.140 2.950 13.126
Ru 0.651 1.348 3.680
Ru 3.542 2.427 11.039
Ru 5.132 6.202 11.039
Ru 2.241 5.122 3.680
Ru 3.444 2.356 6.867
Ru 0.553 1.419 7.851
Ru 2.339 5.193 14.226
Ru 5.231 6.131 0.492
Ru 2.339 5.193 7.851
Ru 5.231 6.131 6.867
Ru 3.444 2.356 0.492
Ru 0.553 1.419 14.226
```

Properties
Density of states at the Fermi level: 25.62 states/eV/cell
Space-group type: No. 62
Formation energy: -0.44 eV per atom



6.
The following is a PBE-GGA calculation of a relaxed TaSb2As crystal, from Alexandria via LeMat-Bulk.

```
4
Lattice="9.659 -0.044 -0.026 9.111 3.208 -0.026 9.111 1.536 2.817" Properties=species:S:1:pos:R:3 pbc="T T T"
Sb 0.196 0.033 0.019
Sb 13.745 2.317 1.363
As 6.970 1.175 0.691
Ta 20.911 3.525 2.074
```

Properties
Density of states at the Fermi level: 2.51 states/eV/cell
Space-group type: No. 166
Formation energy from raw total energies: 110 kJ/mol of formula units



7.
The following is a PBE-GGA calculation of a relaxed Re2TcCl crystal, from Alexandria via LeMat-Bulk.

```
4
Lattice="3.985 0.000 0.000 0.000 2.853 0.024 0.000 1.389 5.260" Properties=species:S:1:pos:R:3 pbc="T T T"
Cl 1.992 3.722 3.844
Re 0.000 3.709 5.276
Re 1.992 0.879 1.460
Tc 0.000 2.295 2.631
```

Properties
Density of states at the Fermi level: 3.18 states/eV/cell
Space-group type: No. 6
Formation energy from raw total energies: 240 kJ/mol of formula units
Excess energy over the best structure of this formula in the dataset: 294 meV per atom



8.
The following is a PBE-GGA calculation of a relaxed BeAg2Sn crystal, from Alexandria via LeMat-Bulk.

```
4
Lattice="2.114 -3.524 2.215 -1.151 -1.010 4.410 -2.366 -3.909 0.958" Properties=species:S:1:pos:R:3 pbc="T T T"
Be 0.000 0.000 0.000
Sn -0.701 -4.221 3.792
Ag -0.351 -2.111 1.896
Ag -1.052 -6.332 5.687
```

Properties
Density of states at the Fermi level: 1.32 states/eV/cell
Space-group type: No. 225
Formation energy: 0.38 eV per atom
Excess energy over the best structure of this formula in the dataset: 4 meV per atom